The following is a DFT calculation (PBEsol) of crystalline KScRe3 at its relaxed geometry.

The value obtained for the total energy is -6.842 eV per atom. Its crystal system is cubic. As for the energy relative to the elements: 2.705 eV/atom.

Unit cell a=4.7354 b=4.7354 c=4.7354 alpha=90.00 beta=90.00 gamma=90.00
Closest atoms and distances in Å follow each position.
Space group Pm-3m (No. 221)
One atom of each set of equivalent atoms:
K: 0.0000 0.0000 0.0000 [1 per cell]  12 Re 3.35
Sc: 0.5000 0.5000 0.5000 [1 per cell]  6 Re 2.37
Re: 0.0000 0.5000 0.5000 [3 per cell]  2 Sc 2.37